Record 1
The following is a PBE calculation of an optimized crystal structure of MgGaAg, from the Alexandria database.

Results
E_form: -98 meV per atom
Symmetry: No. 12
Size of the total moment: 0.0 μB/f.u.

Cell and atoms, written as POSCAR:
```
MgGaAg
1.0
3.051 0.000 0.000
-1.526 4.748 -2.547
0.000 -6.978 11.519
Mg Ag Ga
2 2 2
direct
0.141 0.281 0.699
0.859 0.719 0.301
0.625 0.250 0.334
0.375 0.750 0.666
0.098 0.195 0.968
0.902 0.805 0.032
```

Record 2
The following is a PBE calculation of an optimized crystal structure of ErNiSnHg, from the Alexandria database.

Results
E_form: -248 meV per atom
Symmetry: No. 216
Size of the total moment: 0.0 μB/f.u.

Cell and atoms, written as POSCAR:
```
ErNiSnHg
1.0
-3.211 2.031 3.080
-4.330 1.557 -1.657
-4.087 -2.401 1.206
Sn Ni Er Hg
1 1 1 1
direct
0.500 0.500 0.500
0.250 0.250 0.250
0.000 0.000 0.000
0.750 0.750 0.750
```

Record 3
The following is a PBE calculation of an optimized crystal structure of Ca2Cd3Ag5, from the Alexandria database.

Results
E_form: -160 meV per atom
Symmetry: No. 72
Size of the total moment: 0.0 μB/f.u.

Cell and atoms, written as POSCAR:
```
Ca2Cd3Ag5
1.0
-0.829 4.005 4.391
-1.437 -4.605 8.030
8.372 2.669 3.246
Ca Ag Cd
4 10 6
direct
0.124 0.633 0.119
0.624 0.119 0.633
0.376 0.881 0.367
0.876 0.367 0.881
0.371 0.277 0.981
0.500 0.750 0.750
0.250 0.500 0.500
0.871 0.981 0.277
0.629 0.723 0.019
0.750 0.500 0.500
0.000 0.250 0.250
0.000 0.750 0.750
0.500 0.250 0.250
0.129 0.019 0.723
0.123 0.233 0.520
0.877 0.767 0.480
0.623 0.520 0.233
0.750 0.000 0.000
0.250 0.000 0.000
0.377 0.480 0.767
```

Record 4
The following is a PBE calculation of an optimized crystal structure of Ba2YPaAs4, from the Alexandria database.

Results
E_form: -1229 meV per atom
Symmetry: No. 10
Size of the total moment: 0.0 μB/f.u.

Cell and atoms, written as POSCAR:
```
Ba2YPaAs4
1.0
4.367 0.000 0.000
0.000 7.459 0.113
0.000 -2.628 7.439
As Ba Y Pa
4 2 1 1
direct
0.000 0.726 0.203
0.500 0.246 0.206
0.500 0.754 0.794
0.000 0.274 0.797
0.500 0.000 0.500
0.000 0.500 0.500
0.000 0.000 0.000
0.500 0.500 0.000
```

Record 5
The following is a PBE calculation of an optimized crystal structure of Ac2Zn4AgIr3, from the Alexandria database.

Results
E_form: -382 meV per atom
Symmetry: No. 115
Size of the total moment: 0.0 μB/f.u.

Cell and atoms, written as POSCAR:
```
Ac2Zn4AgIr3
1.0
-3.878 1.852 -0.170
-1.726 -3.730 -1.268
-1.768 -2.741 10.470
Zn Ac Ir Ag
4 2 3 1
direct
0.000 0.000 0.000
0.000 0.500 0.368
0.500 0.500 0.000
0.500 0.000 0.632
0.500 0.000 0.243
0.000 0.500 0.757
0.000 0.000 0.500
0.500 0.000 0.864
0.000 0.500 0.136
0.500 0.500 0.500
```

Record 6
The following is a PBE calculation of an optimized crystal structure of Ac2PmBe2Pd7, from the Alexandria database.

Results
E_form: -726 meV per atom
Symmetry: No. 12
Size of the total moment: 0.0 μB/f.u.

Cell and atoms, written as POSCAR:
```
Ac2PmBe2Pd7
1.0
4.232 0.016 0.150
0.021 4.232 0.150
2.523 2.520 13.313
Pd Ac Pm Be
7 2 1 2
direct
0.617 0.117 0.839
0.883 0.383 0.161
0.807 0.807 0.587
0.383 0.883 0.161
0.117 0.617 0.839
0.500 0.500 0.000
0.193 0.193 0.413
0.260 0.260 0.649
0.740 0.740 0.351
0.000 0.000 0.000
0.331 0.331 0.235
0.669 0.669 0.765
```

Record 7
The following is a PBE calculation of an optimized crystal structure of Nd5Tl4Rh, from the Alexandria database.

Results
E_form: -442 meV per atom
Symmetry: No. 123
Size of the total moment: 0.0 μB/f.u.

Cell and atoms, written as POSCAR:
```
Nd5Tl4Rh
1.0
3.630 0.000 0.000
0.000 3.630 0.000
0.000 0.000 21.392
Tl Nd Rh
4 5 1
direct
0.000 0.000 0.189
0.000 0.000 0.396
0.000 0.000 0.604
0.000 0.000 0.811
0.500 0.500 0.500
0.500 0.500 0.920
0.500 0.500 0.292
0.500 0.500 0.708
0.500 0.500 0.080
0.000 0.000 0.000
```

Record 8
The following is a PBE calculation of an optimized crystal structure of TbTmH, from the Alexandria database.

Results
Symmetry: No. 107
VASP energy: -4.26 eV per atom
Size of the total moment: 0.0 μB/f.u.

Cell and atoms, written as POSCAR:
```
TbTmH
1.0
-2.392 -2.303 -0.123
1.958 -1.935 -1.861
2.415 -0.430 5.956
Tb H Tm
1 1 1
direct
0.035 0.035 0.071
0.220 0.220 0.441
0.744 0.744 0.488
```